Below is KRbS2N after structural relaxation, with properties calculated at the PBEsol level.

Results
The formation energy without anion corrections comes out at 4.5 eV per formula unit. The total magnetic moment is 5.013 μB per formula unit.

Unit cell a=5.747 b=5.747 c=5.212 alpha=90.00 beta=90.00 gamma=90.00
Space group P4/mmm (No. 123)
Unique sites:
K  0.000  0.000  0.000 (multiplicity 1)
Rb  0.500  0.500  0.500 (multiplicity 1)
S  0.000  0.500  0.000 (multiplicity 2)
N  0.000  0.000  0.500 (multiplicity 1)